1.
# PBE Sb2Te2Pb, relaxed
# Polymorph energy (0 for the lowest one)   30.8 meV per atom
data_Sb2Te2Pb
_chemical_formula_sum 'Sb4 Te4 Pb2'
_cell_length_a 8.9320
_cell_length_b 8.9320
_cell_length_c 3.9706
_cell_angle_alpha 90.00
_cell_angle_beta 90.00
_cell_angle_gamma 90.00
_symmetry_space_group_name_H-M 'P 1'
_symmetry_Int_Tables_number 1
loop_
_symmetry_equiv_pos_as_xyz
'x,y,z'
loop_
_atom_site_label
_atom_site_fract_x
_atom_site_fract_y
_atom_site_fract_z
Pb1 0.0000 0.0000 0.0000
Pb2 0.5000 0.5000 0.0000
Sb1 0.1818 0.6818 0.5000
Sb2 0.6818 0.8182 0.5000
Sb3 0.8182 0.3182 0.5000
Sb4 0.3182 0.1818 0.5000
Te1 0.3526 0.8526 0.0000
Te2 0.8526 0.6474 0.0000
Te3 0.6474 0.1474 0.0000
Te4 0.1474 0.3526 0.0000



2.
Compound: Sb5Te12Pb3
Source: Alexandria
Functional: PBE
Structure: relaxed

```
data_Sb5Te12Pb3
_chemical_formula_sum 'Sb20 Te48 Pb12'
_cell_length_a 15.9020
_cell_length_b 15.9020
_cell_length_c 15.9020
_cell_angle_alpha 109.47
_cell_angle_beta 109.47
_cell_angle_gamma 109.47
_symmetry_space_group_name_H-M 'P 1'
_symmetry_Int_Tables_number 1
loop_
_symmetry_equiv_pos_as_xyz
'x,y,z'
loop_
_atom_site_label
_atom_site_fract_x
_atom_site_fract_y
_atom_site_fract_z
Pb1 0.7500 0.3750 0.1250
Pb2 0.8750 0.7500 0.1250
Pb3 0.3750 0.7500 0.6250
Pb4 0.2500 0.1250 0.3750
Pb5 0.8750 0.1250 0.2500
Pb6 0.3750 0.6250 0.2500
Pb7 0.6250 0.3750 0.7500
Pb8 0.1250 0.8750 0.7500
Pb9 0.7500 0.8750 0.6250
Pb10 0.6250 0.2500 0.3750
Pb11 0.1250 0.2500 0.8750
Pb12 0.2500 0.6250 0.8750
Sb1 0.1250 0.3750 0.2500
Sb2 0.0000 0.5000 0.0000
Sb3 0.0000 0.0000 0.0000
Sb4 0.3750 0.2500 0.1250
Sb5 0.5000 0.0000 0.5000
Sb6 0.5000 0.5000 0.0000
Sb7 0.1250 0.7500 0.3750
Sb8 0.7500 0.1250 0.8750
Sb9 0.7500 0.6250 0.3750
Sb10 0.3750 0.1250 0.7500
Sb11 0.6250 0.8750 0.2500
Sb12 0.5000 0.5000 0.5000
Sb13 0.5000 0.0000 0.0000
Sb14 0.0000 0.0000 0.5000
Sb15 0.2500 0.3750 0.6250
Sb16 0.2500 0.8750 0.1250
Sb17 0.0000 0.5000 0.5000
Sb18 0.8750 0.2500 0.6250
Sb19 0.6250 0.7500 0.8750
Sb20 0.8750 0.6250 0.7500
Te1 0.7166 0.1304 0.0450
Te2 0.3284 0.5450 0.4146
Te3 0.9550 0.3696 0.2834
Te4 0.5450 0.2166 0.1304
Te5 0.5862 0.7166 0.6716
Te6 0.9550 0.5854 0.1716
Te7 0.3284 0.7834 0.4138
Te8 0.0854 0.9138 0.1304
Te9 0.5854 0.9550 0.6716
Te10 0.7166 0.5862 0.1716
Te11 0.7834 0.4550 0.3696
Te12 0.8284 0.9146 0.0450
Te13 0.1304 0.7166 0.5450
Te14 0.3696 0.4146 0.0862
Te15 0.0862 0.9146 0.3696
Te16 0.4138 0.1304 0.5854
Te17 0.0862 0.1716 0.2166
Te18 0.4550 0.6716 0.0854
Te19 0.8284 0.9138 0.2834
Te20 0.1304 0.4138 0.0854
Te21 0.3696 0.9550 0.7834
Te22 0.5854 0.6304 0.4138
Te23 0.9146 0.8284 0.5450
Te24 0.7834 0.3284 0.9138
Te25 0.4146 0.3696 0.5862
Te26 0.0854 0.1716 0.4550
Te27 0.2166 0.6716 0.0862
Te28 0.1716 0.0862 0.7166
Te29 0.6304 0.0450 0.2166
Te30 0.8696 0.5862 0.9146
Te31 0.5450 0.3284 0.9146
Te32 0.5862 0.8696 0.4146
Te33 0.9138 0.8284 0.7834
Te34 0.9138 0.0854 0.6304
Te35 0.8696 0.2834 0.4550
Te36 0.1716 0.0854 0.9550
Te37 0.6304 0.5854 0.9138
Te38 0.4146 0.0450 0.3284
Te39 0.2834 0.4138 0.8284
Te40 0.2166 0.5450 0.6304
Te41 0.9146 0.0862 0.8696
Te42 0.6716 0.2166 0.5862
Te43 0.4550 0.7834 0.8696
Te44 0.0450 0.4146 0.8284
Te45 0.4138 0.2834 0.3284
Te46 0.0450 0.6304 0.7166
Te47 0.6716 0.4550 0.5854
Te48 0.2834 0.8696 0.9550
```



3.
# PBE SbTePb, relaxed
# Polymorph energy (0 for the lowest one)   75.6 meV per atom
data_SbTePb
_chemical_formula_sum 'Sb1 Te1 Pb1'
_cell_length_a 4.4988
_cell_length_b 4.4988
_cell_length_c 5.5737
_cell_angle_alpha 90.00
_cell_angle_beta 90.00
_cell_angle_gamma 120.00
_symmetry_space_group_name_H-M 'P 1'
_symmetry_Int_Tables_number 1
loop_
_symmetry_equiv_pos_as_xyz
'x,y,z'
loop_
_atom_site_label
_atom_site_fract_x
_atom_site_fract_y
_atom_site_fract_z
Pb1 0.0000 0.0000 0.0093
Sb1 0.6667 0.3333 0.3282
Te1 0.3333 0.6667 0.6624



4.
# PBE Sb2Te2Pb, relaxed
# Polymorph energy (0 for the lowest one)   0.0 meV per atom
data_Sb2Te2Pb
_chemical_formula_sum 'Sb4 Te4 Pb2'
_cell_length_a 8.7298
_cell_length_b 8.7298
_cell_length_c 4.0829
_cell_angle_alpha 90.00
_cell_angle_beta 90.00
_cell_angle_gamma 90.00
_symmetry_space_group_name_H-M 'P 1'
_symmetry_Int_Tables_number 1
loop_
_symmetry_equiv_pos_as_xyz
'x,y,z'
loop_
_atom_site_label
_atom_site_fract_x
_atom_site_fract_y
_atom_site_fract_z
Pb1 0.0000 0.0000 0.0000
Pb2 0.5000 0.5000 0.0000
Sb1 0.3525 0.8525 0.0000
Sb2 0.8525 0.6475 0.0000
Sb3 0.6475 0.1475 0.0000
Sb4 0.1475 0.3525 0.0000
Te1 0.1788 0.6788 0.5000
Te2 0.6788 0.8212 0.5000
Te3 0.8212 0.3212 0.5000
Te4 0.3212 0.1788 0.5000



5.
# PBE SbTePb, relaxed
# Polymorph energy (0 for the lowest one)   169.4 meV per atom
data_SbTePb
_chemical_formula_sum 'Sb1 Te1 Pb1'
_cell_length_a 9.2031
_cell_length_b 9.2031
_cell_length_c 9.2031
_cell_angle_alpha 159.58
_cell_angle_beta 159.58
_cell_angle_gamma 29.04
_symmetry_space_group_name_H-M 'P 1'
_symmetry_Int_Tables_number 1
loop_
_symmetry_equiv_pos_as_xyz
'x,y,z'
loop_
_atom_site_label
_atom_site_fract_x
_atom_site_fract_y
_atom_site_fract_z
Pb1 0.9949 0.9949 0.0000
Sb1 0.3510 0.3510 0.0000
Te1 0.6541 0.6541 0.0000



6.
Compound: Th4SbTePb2
Source: Alexandria
Functional: PBE
Structure: relaxed

```
data_Th4SbTePb2
_chemical_formula_sum 'Th4 Sb1 Te1 Pb2'
_cell_length_a 4.5558
_cell_length_b 7.8033
_cell_length_c 7.9063
_cell_angle_alpha 70.35
_cell_angle_beta 90.00
_cell_angle_gamma 90.00
_symmetry_space_group_name_H-M 'P 1'
_symmetry_Int_Tables_number 1
loop_
_symmetry_equiv_pos_as_xyz
'x,y,z'
loop_
_atom_site_label
_atom_site_fract_x
_atom_site_fract_y
_atom_site_fract_z
Th1 0.0000 0.7476 0.7529
Th2 0.0000 0.2524 0.2471
Th3 0.5000 0.7487 0.2481
Th4 0.5000 0.2513 0.7519
Sb1 0.5000 0.5000 0.0000
Te1 0.0000 0.5000 0.5000
Pb1 0.0000 0.0000 0.0000
Pb2 0.5000 0.0000 0.5000
```



| no. | formation energy without anion corrections (eV per atom) |
| --- | --- |
| 1 | 0.0849 |
| 2 | -0.0405 |
| 3 | 0.0389 |
| 4 | 0.0541 |
| 5 | 0.1327 |
| 6 | -0.6222 |